Entry 1:
Compound: ZrCdNi2
Source: Alexandria via LeMat-Bulk
Functional: PBE-GGA
Structure: optimized geometry

Geometry as POSCAR:
```
ZrCdNi2
1.0
-3.3112 2.8257 2.5852
-4.8235 0.6098 1.4121
-0.2853 -2.0121 4.1685
Ni Cd Zr
2 1 1
Cartesian
-6.1317 1.0302 5.9585 Ni
-0.1547 0.0214 0.1590 Ni
-2.2263 0.5148 1.8975 Cd
-4.1174 0.5688 4.2335 Zr
```

## Properties
The value obtained for the calculated total energy is -21.53 eV per cell. The size of the total moment comes out at 0.0 Bohr magnetons per cell. The formation energy is -0.5 eV/f.u.

Entry 2:
Compound: Zr3CdNi8
Source: Alexandria via LeMat-Bulk
Functional: PBE-GGA
Structure: optimized geometry

Geometry as POSCAR:
```
Zr3CdNi8
1.0
-0.4300 -4.8342 0.7077
3.7812 -2.9673 -0.9764
3.7525 -1.7287 7.4668
Ni Zr Cd
8 3 1
Cartesian
3.8322 -7.0131 5.4094 Ni
5.7388 -8.5093 4.9171 Ni
5.9556 -6.0717 4.5602 Ni
2.1527 -3.7283 1.2499 Ni
4.0619 -5.2266 0.7569 Ni
2.2672 -2.2200 3.2082 Ni
1.9356 -6.1692 1.6072 Ni
5.8188 -6.9852 6.8067 Ni
3.3955 -7.7869 -0.1416 Zr
4.5135 -4.4470 6.3563 Zr
3.5141 -4.7776 3.4909 Zr
4.3625 -7.4670 2.6309 Cd
```

## Properties
The value obtained for the calculated total energy is -77.62 eV per cell. The size of the total moment comes out at 0.0 Bohr magnetons per cell. The formation energy is -4.8 eV/f.u.

Entry 3:
Compound: NpCd
Source: Alexandria via LeMat-Bulk
Functional: PBE-GGA
Structure: optimized geometry

Geometry as POSCAR:
```
NpCd
1.0
2.9292 0.0000 0.2953
0.0000 3.5085 0.0000
-0.2493 0.0000 8.4385
Np Cd
2 2
Cartesian
1.0252 2.6314 0.8214 Np
1.6547 0.8771 7.9124 Np
0.4864 2.6314 5.3496 Cd
2.1935 0.8771 3.3841 Cd
```

## Properties
The value obtained for the calculated total energy is -27.28 eV per cell. The size of the total moment comes out at 0.0 Bohr magnetons per cell. The formation energy is 0.2 eV/f.u.

Entry 4:
Compound: NpCd
Source: Alexandria via LeMat-Bulk
Functional: PBE-GGA
Structure: optimized geometry

Geometry as POSCAR:
```
NpCd
1.0
-2.2283 -0.6412 1.7594
1.6392 -2.1345 -1.1091
3.5833 0.3308 4.6576
Np Cd
1 1
Cartesian
1.2460 -1.5542 1.0113 Np
1.7482 -0.8907 4.2967 Cd
```

## Properties
The value obtained for the calculated total energy is -13.46 eV per cell. The size of the total moment comes out at 3.2 Bohr magnetons per cell. The formation energy is 0.4 eV/f.u.

Entry 5:
Compound: NpCd5
Source: Alexandria via LeMat-Bulk
Functional: PBE-GGA
Structure: optimized geometry

Geometry as POSCAR:
```
NpCd5
1.0
-1.7986 -2.1898 0.6276
2.3012 -0.3560 5.3527
-6.8426 5.6590 0.1352
Cd Np
5 1
Cartesian
0.2513 -1.2729 2.9901 Cd
-3.8871 3.7429 1.9200 Cd
-3.4013 2.2443 4.7943 Cd
-0.6544 1.5601 3.5679 Cd
-2.9387 0.8689 1.3212 Cd
0.0000 0.0000 0.0000 Np
```

## Properties
The value obtained for the calculated total energy is -16.68 eV per cell. The size of the total moment comes out at 4.8 Bohr magnetons per cell. The formation energy is 0.8 eV/f.u.

Entry 6:
Compound: Np3Cd
Source: Alexandria via LeMat-Bulk
Functional: PBE-GGA
Structure: optimized geometry

Geometry as POSCAR:
```
Np3Cd
1.0
-2.2515 5.1284 0.5982
-3.0617 0.2447 4.7217
5.2610 -1.7343 -1.0205
Np Cd
3 1
Cartesian
0.1765 3.0403 1.1188 Np
-0.2286 0.5984 3.1806 Np
-2.6566 2.6865 2.6599 Np
0.0000 0.0000 0.0000 Cd
```

## Properties
The value obtained for the calculated total energy is -37.27 eV per cell. The size of the total moment comes out at 12.9 Bohr magnetons per cell. The formation energy is 2.5 eV/f.u.

Entry 7:
Compound: NpCd6
Source: Alexandria via LeMat-Bulk
Functional: PBE-GGA
Structure: optimized geometry

Geometry as POSCAR:
```
NpCd6
1.0
-3.9145 -2.0159 -5.0567
6.3249 -1.8866 -1.1806
-2.1300 -2.7766 5.7194
Cd Np
6 1
Cartesian
0.5863 -3.5297 2.4351 Cd
-0.3059 -3.1494 -2.9529 Cd
2.7000 -3.3072 0.7101 Cd
2.2539 -3.1171 -1.9839 Cd
-1.9735 -3.5620 1.4660 Cd
-2.4197 -3.3719 -1.2280 Cd
0.0000 0.0000 0.0000 Np
```

## Properties
The value obtained for the calculated total energy is -13.74 eV per cell. The size of the total moment comes out at 5.2 Bohr magnetons per cell. The formation energy is 4.7 eV/f.u.

Entry 8:
Compound: Np2Cd
Source: Alexandria via LeMat-Bulk
Functional: PBE-GGA
Structure: optimized geometry

Geometry as POSCAR:
```
Np2Cd
1.0
3.3427 0.0000 0.0000
0.0000 3.3427 0.0000
-1.6713 -1.6713 5.5179
Np Cd
2 1
Cartesian
0.0000 0.0000 3.2180 Np
1.6713 1.6713 2.2999 Np
0.0000 0.0000 0.0000 Cd
```

## Properties
The value obtained for the calculated total energy is -26.03 eV per cell. The size of the total moment comes out at 0.0 Bohr magnetons per cell. The formation energy is 0.8 eV/f.u.

Entry 9:
Compound: NpCd2O6
Source: Alexandria via LeMat-Bulk
Functional: PBE-GGA
Structure: optimized geometry

Geometry as POSCAR:
```
NpCd2O6
1.0
5.7346 0.0000 0.2990
0.0000 6.3595 0.0000
0.7410 0.0000 9.2525
O Np Cd
12 2 4
Cartesian
1.4705 4.9465 5.6682 O
5.0051 1.4131 3.8833 O
4.9337 3.1807 8.0374 O
2.5069 4.5923 8.3603 O
3.9687 1.7673 1.1912 O
1.5419 3.1788 1.5141 O
3.9673 4.5928 1.1914 O
1.6959 6.3586 3.2616 O
2.5083 1.7667 8.3601 O
4.7797 0.0009 6.2899 O
1.4719 1.4125 5.6680 O
5.0037 4.9471 3.8835 O
0.3705 0.0000 4.6263 Np
2.8673 3.1798 0.1495 Np
2.6969 6.3589 7.0598 Cd
5.1937 3.1804 2.5830 Cd
1.2819 3.1791 6.9685 Cd
3.7787 0.0007 2.4917 Cd
```

## Properties
The value obtained for the calculated total energy is -117.33 eV per cell. The size of the total moment comes out at 2.0 Bohr magnetons per cell. The raw formation energy is -1571 meV/atom.

Entry 10:
Compound: NpCd6O8
Source: Alexandria via LeMat-Bulk
Functional: PBE-GGA
Structure: optimized geometry

Geometry as POSCAR:
```
NpCd6O8
1.0
-2.9007 -3.0279 5.3940
3.4944 -4.6337 3.6048
2.1408 1.4902 6.3145
O Cd Np
8 6 1
Cartesian
0.2038 -2.2389 9.8729 O
-0.9672 -3.0541 6.4190 O
3.7018 -3.1173 8.8943 O
1.7904 -0.5827 6.9225 O
0.9442 -5.5887 8.3908 O
2.5308 -3.9324 5.4403 O
2.0509 -4.6285 11.4849 O
0.6836 -1.5428 3.8283 O
-1.4503 -1.5139 2.6970 Cd
0.2969 -3.8308 4.4994 Cd
2.8176 -1.5718 4.9596 Cd
1.0704 0.7451 3.1572 Cd
1.7472 -2.3168 1.8024 Cd
-0.3799 -0.7688 5.8542 Cd
0.0000 0.0000 0.0000 Np
```

## Properties
The value obtained for the calculated total energy is -78.56 eV per cell. The size of the total moment comes out at 2.3 Bohr magnetons per cell. The raw formation energy is -1364 meV/atom.

Entry 11:
Compound: Np2CdO7
Source: Alexandria via LeMat-Bulk
Functional: PBE-GGA
Structure: optimized geometry

Geometry as POSCAR:
```
Np2CdO7
1.0
-0.1851 -1.8330 3.3284
-0.7631 -3.7261 0.0797
9.6881 -3.9143 0.5571
Np Cd O
2 1 7
Cartesian
7.6760 -3.4997 0.6736 Np
1.0639 -5.9736 3.2917 Np
4.3699 -4.7367 1.9826 Cd
5.6825 -3.0890 0.7889 O
1.8815 -4.2239 2.1266 O
3.0573 -6.3844 3.1763 O
6.8584 -5.2494 1.8386 O
0.0000 0.0000 0.0000 O
7.4825 -7.2962 2.9202 O
1.2573 -2.1772 1.0450 O
```

## Properties
The value obtained for the calculated total energy is -84.38 eV per cell. The size of the total moment comes out at 2.0 Bohr magnetons per cell. The raw formation energy is -2288 meV/atom.

Entry 12:
Compound: NpCd6O12
Source: Alexandria via LeMat-Bulk
Functional: PBE-GGA
Structure: optimized geometry

Geometry as POSCAR:
```
NpCd6O12
1.0
-3.3000 0.0662 5.6823
-5.0199 0.7594 -4.1721
0.9497 -6.4727 -0.6211
O Cd Np
12 6 1
Cartesian
-5.7553 0.1617 -2.4023 O
-4.1600 -3.3861 2.6723 O
-1.6150 -5.8089 3.2914 O
-3.2103 -2.2611 -1.7832 O
-0.8788 -6.0329 -1.3237 O
-3.9991 -3.8522 -4.0438 O
-5.6694 -1.8999 -0.4007 O
-6.4915 0.3858 2.2128 O
-1.7009 -3.7472 1.2898 O
-3.4261 -4.8705 -0.6726 O
-3.3712 -1.7949 4.9329 O
-3.9441 -0.7767 1.5617 O
-3.4311 -5.1955 1.6646 Cd
-4.9703 -3.7209 -1.7285 Cd
-3.9392 -0.4516 -0.7755 Cd
-1.5122 -3.6379 -0.8950 Cd
-5.8580 -2.0092 1.7842 Cd
-2.4000 -1.9262 2.6177 Cd
0.0000 0.0000 0.0000 Np
```

## Properties
The value obtained for the calculated total energy is -97.58 eV per cell. The size of the total moment comes out at 5.1 Bohr magnetons per cell. The raw formation energy is -1034 meV/atom.

Repeat the eleventh record exactly.
Compound: Np2CdO7
Source: Alexandria via LeMat-Bulk
Functional: PBE-GGA
Structure: optimized geometry

Geometry as POSCAR:
```
Np2CdO7
1.0
-0.1851 -1.8330 3.3284
-0.7631 -3.7261 0.0797
9.6881 -3.9143 0.5571
Np Cd O
2 1 7
Cartesian
7.6760 -3.4997 0.6736 Np
1.0639 -5.9736 3.2917 Np
4.3699 -4.7367 1.9826 Cd
5.6825 -3.0890 0.7889 O
1.8815 -4.2239 2.1266 O
3.0573 -6.3844 3.1763 O
6.8584 -5.2494 1.8386 O
0.0000 0.0000 0.0000 O
7.4825 -7.2962 2.9202 O
1.2573 -2.1772 1.0450 O
```

## Properties
The value obtained for the calculated total energy is -84.38 eV per cell. The size of the total moment comes out at 2.0 Bohr magnetons per cell. The raw formation energy is -2288 meV/atom.

Question: Look up the size of the total moment of the third one.
Answer: 0.0 Bohr magnetons per cell

Question: size of the total moment of number 6 (Np3Cd)?
Answer: 12.9 Bohr magnetons per cell